# 1
# PBE Cu2Pb2S, optimized geometry
# total moment = 0.00 Bohr magnetons per cell
# calculated density = 9.3 g/cm³
# raw formation energy = 0.137 eV/atom
# V = 20.6 Å³ per atom
# raw total energy = -19.05 eV per formula unit
data_Cu2Pb2S
_chemical_formula_sum 'Cu4 Pb4 S2'
_cell_length_a 6.8061
_cell_length_b 6.8061
_cell_length_c 4.4406
_cell_angle_alpha 90.00
_cell_angle_beta 90.00
_cell_angle_gamma 90.00
_space_group_name_H-M_alt 'P 4/m b m'
_space_group_IT_number 127
_space_group_name_Hall '-P 4 2ab'
loop_
_atom_site_label
_atom_site_fract_x
_atom_site_fract_y
_atom_site_fract_z
Cu1 0.1291 0.3709 0.0000
Pb1 0.1713 0.6713 0.5000
S1 0.0000 0.0000 0.0000

# 2
# PBE Pr4GaSe2, optimized geometry
# total moment = 0.00 Bohr magnetons per cell
# calculated density = 6.2 g/cm³
# raw formation energy = -1.140 eV/atom
# V = 30.5 Å³ per atom
# raw total energy = -37.09 eV per formula unit
data_Pr4GaSe2
_chemical_formula_sum 'Pr16 Ga4 Se8'
_cell_length_a 9.5356
_cell_length_b 9.5356
_cell_length_c 9.3958
_cell_angle_alpha 90.00
_cell_angle_beta 90.00
_cell_angle_gamma 90.00
_space_group_name_H-M_alt 'I 41/a m d'
_space_group_IT_number 141
loop_
_space_group_symop_operation_xyz
'x,y,z'
'-x,-y,-z'
'-y+1/4,x+3/4,z+1/4'
'y+1/4,-x+3/4,-z+1/4'
'-x+1/2,-y,z+1/2'
'x+1/2,y,-z+1/2'
'y+1/4,-x+1/4,z+3/4'
'-y+1/4,x+1/4,-z+3/4'
'x,-y,-z'
'-x,y,z'
'-y+1/4,-x+1/4,-z+3/4'
'y+1/4,x+1/4,z+3/4'
'-x+1/2,y,-z+1/2'
'x+1/2,-y,z+1/2'
'y+1/4,x+3/4,-z+1/4'
'-y+1/4,-x+3/4,z+1/4'
'x+1/2,y+1/2,z+1/2'
'-x+1/2,-y+1/2,-z+1/2'
'-y+3/4,x+1/4,z+3/4'
'y+3/4,-x+1/4,-z+3/4'
'-x,-y+1/2,z'
'x,y+1/2,-z'
'y+3/4,-x+3/4,z+1/4'
'-y+3/4,x+3/4,-z+1/4'
'x+1/2,-y+1/2,-z+1/2'
'-x+1/2,y+1/2,z+1/2'
'-y+3/4,-x+3/4,-z+1/4'
'y+3/4,x+3/4,z+1/4'
'-x,y+1/2,-z'
'x,-y+1/2,z'
'y+3/4,x+1/4,-z+3/4'
'-y+3/4,-x+1/4,z+3/4'
loop_
_atom_site_label
_atom_site_fract_x
_atom_site_fract_y
_atom_site_fract_z
Pr1 0.0000 0.0599 0.1914
Ga1 0.0000 0.2500 0.8750
Se1 0.0000 0.0000 0.5000

# 3
# PBE TiV3Sn, optimized geometry
# total moment = 0.98 Bohr magnetons per cell
# calculated density = 4.8 g/cm³
# V = 22.0 Å³ per atom
# raw total energy = -31.08 eV per formula unit
# formation energy = 1635 meV per atom
data_TiV3Sn
_chemical_formula_sum 'Ti1 V3 Sn1'
_cell_length_a 4.7903
_cell_length_b 4.7903
_cell_length_c 4.7903
_cell_angle_alpha 90.00
_cell_angle_beta 90.00
_cell_angle_gamma 90.00
_space_group_name_H-M_alt 'P m -3 m'
_space_group_IT_number 221
_space_group_name_Hall '-P 4 2 3'
loop_
_atom_site_label
_atom_site_fract_x
_atom_site_fract_y
_atom_site_fract_z
Ti1 0.0000 0.0000 0.0000
V1 0.0000 0.5000 0.5000
Sn1 0.5000 0.5000 0.5000

# 4
# PBE KTe2Cl, optimized geometry
# total moment = 0.00 Bohr magnetons per cell
# calculated density = 3.3 g/cm³
# raw formation energy = -0.836 eV/atom
# V = 41.6 Å³ per atom
# raw total energy = -12.57 eV per formula unit
data_KTe2Cl
_chemical_formula_sum 'K1 Te2 Cl1'
_cell_length_a 4.1981
_cell_length_b 4.1981
_cell_length_c 9.4465
_cell_angle_alpha 90.00
_cell_angle_beta 90.00
_cell_angle_gamma 90.00
_space_group_name_H-M_alt 'P 4 m m'
_space_group_IT_number 99
loop_
_space_group_symop_operation_xyz
'x,y,z'
'-y,x,z'
'-x,-y,z'
'y,-x,z'
'-x,y,z'
'y,x,z'
'x,-y,z'
'-y,-x,z'
loop_
_atom_site_label
_atom_site_fract_x
_atom_site_fract_y
_atom_site_fract_z
K1 0.0000 0.0000 0.0000
Te1 0.0000 0.0000 0.4374
Te2 0.5000 0.5000 0.5204
Cl1 0.5000 0.5000 0.9868

# 5
# PBE Rb5NpTe4, optimized geometry
# total moment = 8.00 Bohr magnetons per cell
# calculated density = 4.1 g/cm³
# raw formation energy = -0.820 eV/atom
# V = 47.8 Å³ per atom
# raw total energy = -38.54 eV per formula unit
data_Rb5NpTe4
_chemical_formula_sum 'Rb10 Np2 Te8'
_cell_length_a 21.9286
_cell_length_b 5.1534
_cell_length_c 9.3522
_cell_angle_alpha 90.00
_cell_angle_beta 115.16
_cell_angle_gamma 90.00
_space_group_name_H-M_alt 'C 1 2/m 1'
_space_group_IT_number 12
loop_
_space_group_symop_operation_xyz
'x,y,z'
'-x,-y,-z'
'-x,y,-z'
'x,-y,z'
'x+1/2,y+1/2,z'
'-x+1/2,-y+1/2,-z'
'-x+1/2,y+1/2,-z'
'x+1/2,-y+1/2,z'
loop_
_atom_site_label
_atom_site_fract_x
_atom_site_fract_y
_atom_site_fract_z
Rb1 0.0000 0.0000 0.0000
Rb2 0.1736 0.5000 0.4209
Rb3 0.1735 0.5000 0.9284
Np1 0.0000 0.0000 0.5000
Te1 0.0001 0.5000 0.2810
Te2 0.1689 0.0000 0.6699

# 6
# PBE RbMn, optimized geometry
# total moment = 24.00 Bohr magnetons per cell
# calculated density = 2.5 g/cm³
# V = 46.1 Å³ per atom
# raw total energy = -8.31 eV per formula unit
# formation energy = 916 meV per atom
data_RbMn
_chemical_formula_sum 'Rb6 Mn6'
_cell_length_a 4.5843
_cell_length_b 16.5812
_cell_length_c 7.2719
_cell_angle_alpha 90.00
_cell_angle_beta 90.00
_cell_angle_gamma 90.00
_space_group_name_H-M_alt 'P m m n'
_space_group_IT_number 59
loop_
_space_group_symop_operation_xyz
'x,y,z'
'-x,-y,-z'
'-x+1/2,-y+1/2,z'
'x+1/2,y+1/2,-z'
'x+1/2,-y,-z'
'-x+1/2,y,z'
'-x,y+1/2,-z'
'x,-y+1/2,z'
loop_
_atom_site_label
_atom_site_fract_x
_atom_site_fract_y
_atom_site_fract_z
Rb1 0.2500 0.0345 0.2394
Rb2 0.2500 0.7500 0.4971
Mn1 0.2500 0.2500 0.0183
Mn2 0.2500 0.6740 0.0184

# 7
# PBE TbMgS, optimized geometry
# total moment = 0.00 Bohr magnetons per cell
# calculated density = 4.8 g/cm³
# raw formation energy = -1.037 eV/atom
# V = 24.9 Å³ per atom
# raw total energy = -13.46 eV per formula unit
data_TbMgS
_chemical_formula_sum 'Tb6 Mg6 S6'
_cell_length_a 4.8049
_cell_length_b 4.8049
_cell_length_c 22.4463
_cell_angle_alpha 90.00
_cell_angle_beta 90.00
_cell_angle_gamma 120.00
_space_group_name_H-M_alt 'R -3 m'
_space_group_IT_number 166
_space_group_name_Hall '-R 3 2"'
loop_
_atom_site_label
_atom_site_fract_x
_atom_site_fract_y
_atom_site_fract_z
Tb1 0.0000 0.0000 0.0918
Mg1 0.0000 0.0000 0.3292
S1 0.0000 0.0000 0.2161

# 8
# PBE Ti5Nb, optimized geometry
# total moment = 0.00 Bohr magnetons per cell
# calculated density = 5.3 g/cm³
# V = 17.4 Å³ per atom
# raw total energy = -49.28 eV per formula unit
# formation energy = 44 meV per atom
data_Ti5Nb
_chemical_formula_sum 'Ti10 Nb2'
_cell_length_a 4.4482
_cell_length_b 3.2601
_cell_length_c 14.4228
_cell_angle_alpha 90.00
_cell_angle_beta 90.00
_cell_angle_gamma 90.00
_space_group_name_H-M_alt 'A m m 2'
_space_group_IT_number 38
loop_
_space_group_symop_operation_xyz
'x,y,z'
'-x,-y,z'
'-x,y,z'
'x,-y,z'
'x,y+1/2,z+1/2'
'-x,-y+1/2,z+1/2'
'-x,y+1/2,z+1/2'
'x,-y+1/2,z+1/2'
loop_
_atom_site_label
_atom_site_fract_x
_atom_site_fract_y
_atom_site_fract_z
Ti1 0.0000 0.0000 0.0000
Ti2 0.0000 0.0000 0.3318
Ti3 0.0000 0.0000 0.6650
Ti4 0.5000 0.0000 0.2017
Ti5 0.5000 0.0000 0.8687
Nb1 0.5000 0.0000 0.5329

# 9
# PBE TePtPb, optimized geometry
# total moment = 0.00 Bohr magnetons per cell
# calculated density = 11.5 g/cm³
# raw formation energy = -0.055 eV/atom
# V = 25.5 Å³ per atom
# raw total energy = -13.06 eV per formula unit
data_TePtPb
_chemical_formula_sum 'Te2 Pt2 Pb2'
_cell_length_a 3.5637
_cell_length_b 3.5637
_cell_length_c 12.0564
_cell_angle_alpha 90.00
_cell_angle_beta 90.00
_cell_angle_gamma 90.00
_space_group_name_H-M_alt 'I 4 m m'
_space_group_IT_number 107
_space_group_name_Hall 'I 4 -2'
loop_
_atom_site_label
_atom_site_fract_x
_atom_site_fract_y
_atom_site_fract_z
Te1 0.0000 0.0000 0.0000
Pt1 0.0000 0.0000 0.5977
Pb1 0.0000 0.0000 0.2645

# 10
# PBE AlTcHg2, optimized geometry
# total moment = 2.66 Bohr magnetons per cell
# calculated density = 11.9 g/cm³
# V = 18.4 Å³ per atom
# raw total energy = -13.01 eV per formula unit
# formation energy = 427 meV per atom
data_AlTcHg2
_chemical_formula_sum 'Al2 Tc2 Hg4'
_cell_length_a 5.6156
_cell_length_b 8.4447
_cell_length_c 3.1053
_cell_angle_alpha 90.00
_cell_angle_beta 90.00
_cell_angle_gamma 90.00
_space_group_name_H-M_alt 'C m m m'
_space_group_IT_number 65
_space_group_name_Hall '-C 2 2'
loop_
_atom_site_label
_atom_site_fract_x
_atom_site_fract_y
_atom_site_fract_z
Al1 0.0000 0.0000 0.0000
Tc1 0.0000 0.5000 0.0000
Hg1 0.2500 0.2500 0.5000

# 11
# PBE DyHfZnTc, optimized geometry
# total moment = 0.00 Bohr magnetons per cell
# calculated density = 10.8 g/cm³
# V = 19.4 Å³ per atom
# raw total energy = -26.96 eV per formula unit
# formation energy = -192 meV per atom
data_DyHfZnTc
_chemical_formula_sum 'Dy4 Hf4 Zn4 Tc4'
_cell_length_a 6.7672
_cell_length_b 6.7672
_cell_length_c 6.7672
_cell_angle_alpha 90.00
_cell_angle_beta 90.00
_cell_angle_gamma 90.00
_space_group_name_H-M_alt 'F -4 3 m'
_space_group_IT_number 216
_space_group_name_Hall 'F -4 2 3'
loop_
_atom_site_label
_atom_site_fract_x
_atom_site_fract_y
_atom_site_fract_z
Dy1 0.0000 0.0000 0.0000
Hf1 0.0000 0.0000 0.5000
Zn1 0.2500 0.2500 0.2500
Tc1 0.2500 0.2500 0.7500

# 12
# PBE Tb6Sm3Tm2Pu, optimized geometry
# total moment = 13.23 Bohr magnetons per cell
# calculated density = 8.7 g/cm³
# V = 31.6 Å³ per atom
# raw total energy = -64.68 eV per formula unit
# formation energy = 44 meV per atom
data_Tb6Sm3Tm2Pu
_chemical_formula_sum 'Tb12 Sm6 Tm4 Pu2'
_cell_length_a 6.1526
_cell_length_b 10.6582
_cell_length_c 11.7418
_cell_angle_alpha 90.00
_cell_angle_beta 100.10
_cell_angle_gamma 90.00
_space_group_name_H-M_alt 'C 1 2/m 1'
_space_group_IT_number 12
loop_
_space_group_symop_operation_xyz
'x,y,z'
'-x,-y,-z'
'-x,y,-z'
'x,-y,z'
'x+1/2,y+1/2,z'
'-x+1/2,-y+1/2,-z'
'-x+1/2,y+1/2,-z'
'x+1/2,-y+1/2,z'
loop_
_atom_site_label
_atom_site_fract_x
_atom_site_fract_y
_atom_site_fract_z
Tb1 0.2465 0.1648 0.2449
Tb2 0.2481 0.0000 0.7551
Sm1 0.0000 0.1671 0.5000
Sm2 0.0000 0.5000 0.5000
Tm1 0.0000 0.3335 0.0000
Pu1 0.0000 0.0000 0.0000

Question: Among the records above, which one has the highest raw total energy?
Answer: RbMn

Question: What is the total moment in the sixth record?
Answer: 24.00 Bohr magnetons per cell

Question: Which of these has the lowest calculated density?
Answer: RbMn